Material: MgRe2Pt
Method: DFT, PBE
State: optimized geometry

a = 2.722 Å, b = 4.366 Å, c = 5.210 Å
α = 90.00°, β = 90.00°, γ = 90.00°
Space group Pmmm (No. 47)
Symmetry-distinct sites (fractional):
Mg 0.000 0.000 0.000 [1 per cell]
Re 0.500 0.500 0.244 [2 per cell]
Pt 0.000 0.000 0.500 [1 per cell]

formation energy from the elements: 3.92 kcal/mol of atoms
electronic total energy: -7.963 eV per atom